(1)
Here is a relaxed structure of LiTcNi2 from Alexandria. Energies are from PBE.

Unit cell a=2.589 b=4.292 c=4.294 alpha=90.00 beta=90.00 gamma=90.00
Space group Pmmm (No. 47)
One atom of each set of equivalent atoms:
1 Li 0.000 0.000 0.000 [1 per cell]
2 Tc 0.500 0.500 0.000 [1 per cell]
3 Ni 0.000 0.500 0.500 [1 per cell]
4 Ni 0.500 0.000 0.500 [1 per cell]

(2)
Here is a relaxed structure of LiTcNi3 from Alexandria. Energies are from PBE.

Unit cell a=4.500 b=4.500 c=4.500 alpha=90.00 beta=90.00 gamma=90.00
Space group Pm-3m (No. 221)
One atom of each set of equivalent atoms:
1 Li 0.000 0.000 0.000 [1 per cell]
2 Tc 0.500 0.500 0.500 [1 per cell]
3 Ni 0.000 0.500 0.500 [3 per cell]

(3)
Here is a relaxed structure of LiTcNi2 from Alexandria. Energies are from PBE.

Unit cell a=2.527 b=4.234 c=4.509 alpha=90.00 beta=90.03 gamma=90.00
Space group Pm (No. 6)
One atom of each set of equivalent atoms:
1 Li 0.000 0.000 0.000 [1 per cell]
2 Tc 0.997 0.500 0.368 [1 per cell]
3 Ni 0.497 0.000 0.519 [1 per cell]
4 Ni 0.498 0.500 0.873 [1 per cell]

(4)
Here is a relaxed structure of LiTcNi2 from Alexandria. Energies are from PBE.

Unit cell a=2.549 b=3.701 c=5.140 alpha=90.00 beta=90.00 gamma=90.00
Space group Pmmm (No. 47)
One atom of each set of equivalent atoms:
1 Li 0.000 0.000 0.000 [1 per cell]
2 Tc 0.000 0.000 0.500 [1 per cell]
3 Ni 0.500 0.500 0.256 [2 per cell]

(5)
Here is a relaxed structure of LiTcNi5 from Alexandria. Energies are from PBE.

Unit cell a=8.808 b=8.816 c=4.379 alpha=90.00 beta=109.27 gamma=90.00
Space group C2/c (No. 15)
One atom of each set of equivalent atoms:
1 Li 0.000 0.000 0.000 [4 per cell]
2 Tc 0.000 0.432 0.250 [4 per cell]
3 Ni 0.000 0.260 0.750 [4 per cell]
4 Ni 0.148 0.186 0.327 [8 per cell]
5 Ni 0.247 0.409 0.082 [8 per cell]

(6)
Here is a relaxed structure of LiTcNi2 from Alexandria. Energies are from PBE.

Unit cell a=8.438 b=2.503 c=4.615 alpha=90.00 beta=96.61 gamma=90.00
Space group C2/m (No. 12)
One atom of each set of equivalent atoms:
1 Li 0.000 0.000 0.000 [2 per cell]
2 Tc 0.000 0.500 0.500 [2 per cell]
3 Ni 0.250 0.000 0.744 [4 per cell]

Uncorrected energy, respectively: -5.68 -4.89 -5.94 -5.89 -5.76 -5.80 eV/atom.
Spin magnetization, respectively: 0.01 0.00 0.00 0.00 0.07 0.00 μB/atom.